(1)
Here is a geometry-optimized ReHgBr structure from Alexandria via LeMat-Bulk. Energies are from GGA-PBE.

abc: 3.0500 3.0500 7.7490
angles: 90.00 90.00 120.00
Closest atoms and distances in Å follow each position.
Atoms (fractional coordinates):
1 Re 0.3333 0.6667 0.6879  3 Br 2.59
2 Hg 0.6667 0.3333 0.3798  3 Re 2.97, 6 Hg 3.05
3 Br 0.0000 0.0000 0.9323  3 Re 2.59

- Calculated volume: 62.43 Å³/f.u.
- Offset from the most stable computed form: 0.000 eV/atom



(2)
Here is a geometry-optimized ReHg2Br structure from Alexandria via LeMat-Bulk. Energies are from GGA-PBE.

abc: 3.2550 3.2550 9.4039
angles: 90.00 90.00 119.79
Closest atoms and distances in Å follow each position.
Atoms (fractional coordinates):
1 Re 0.5000 0.5000 0.2500  4 Hg 2.78
2 Hg 0.0000 0.0000 0.0108  2 Re 2.78, 2 Br 2.95
3 Hg 0.0000 0.0000 0.4892  2 Re 2.78, 2 Br 2.95
4 Br 0.5000 0.5000 0.7500  4 Hg 2.95, 6 Br 3.25-3.27

- Calculated volume: 86.47 Å³/f.u.
- Offset from the most stable computed form: 0.280 eV/atom



(3)
Here is a geometry-optimized ReHg2Br structure from Alexandria via LeMat-Bulk. Energies are from GGA-PBE.

abc: 5.3384 5.3384 3.0516
angles: 90.00 90.00 112.15
Closest atoms and distances in Å follow each position.
Atoms (fractional coordinates):
1 Re 0.5000 0.0000 0.5000  2 Br 2.98, 2 Re 3.05, 8 Hg 3.07
2 Hg 0.0000 0.0000 0.0000  4 Hg 2.98-3.05, 4 Br 3.07, 4 Re 3.07
3 Hg 0.5000 0.5000 0.0000  4 Hg 2.98-3.05, 4 Re 3.07, 4 Br 3.07
4 Br 0.0000 0.5000 0.5000  2 Re 2.98, 2 Br 3.05, 8 Hg 3.07

- Calculated volume: 80.55 Å³/f.u.
- Offset from the most stable computed form: 0.350 eV/atom



The lowest calculated volume belongs to which entry? ReHgBr



Repeat the first record exactly.
Here is a geometry-optimized ReHgBr structure from Alexandria via LeMat-Bulk. Energies are from GGA-PBE.

abc: 3.0500 3.0500 7.7490
angles: 90.00 90.00 120.00
Closest atoms and distances in Å follow each position.
Atoms (fractional coordinates):
1 Re 0.3333 0.6667 0.6879  3 Br 2.59
2 Hg 0.6667 0.3333 0.3798  3 Re 2.97, 6 Hg 3.05
3 Br 0.0000 0.0000 0.9323  3 Re 2.59

- Calculated volume: 62.43 Å³/f.u.
- Offset from the most stable computed form: 0.000 eV/atom